Entry A
ScSF2: relaxed, PBE.

Results
DOS(E_F) = 0.04 states/eV/atom
volume = 128 Å³/cell
SG = I-42d (122)

a = 7.5406 Å, b = 7.5406 Å, c = 7.5406 Å
α = 146.79°, β = 146.79°, γ = 47.68°
With the nearest neighbours (Å) after each atom.
Positions (direct):
Sc 0.0000 0.0000 0.0000  4 F 2.07
Sc 0.7500 0.2500 0.5000  4 F 2.07
S 0.2500 0.7500 0.5000  4 F 2.69
S 0.5000 0.5000 0.0000  4 F 2.69
F 0.3750 0.2173 0.3423  2 Sc 2.07, 2 F 2.30
F 0.7827 0.1250 0.1577  2 Sc 2.07, 2 F 2.30
F 0.8750 0.0327 0.6577  2 Sc 2.07, 2 F 2.30
F 0.9673 0.6250 0.8423  2 Sc 2.07, 2 F 2.30

Entry B
ScSF2: relaxed, PBE.

Results
DOS(E_F) = 0.68 states/eV/atom
volume = 73 Å³/cell
SG = R-3m (166)

a = 9.1532 Å, b = 9.1532 Å, c = 9.1532 Å
α = 19.22°, β = 19.22°, γ = 19.22°
With the nearest neighbours (Å) after each atom.
Positions (direct):
Sc 0.0000 0.0000 0.0000  6 F 2.12
S 0.5000 0.5000 0.5000  6 S 3.06, 2 F 3.31
F 0.3770 0.3770 0.3770  3 Sc 2.12
F 0.6230 0.6230 0.6230  3 Sc 2.12

Tell me which of them is the least stable. Sure, it is entry B.

Entry A
ScS2F: relaxed, PBE.

Results
DOS(E_F) = 0.46 states/eV/atom
volume = 123 Å³/cell
SG = I-42d (122)

a = 10.0072 Å, b = 10.0072 Å, c = 10.0072 Å
α = 159.46°, β = 159.46°, γ = 29.21°
With the nearest neighbours (Å) after each atom.
Positions (direct):
Sc 0.0000 0.0000 0.0000  4 F 2.52, 4 S 2.72
Sc 0.7500 0.2500 0.5000  4 F 2.52, 4 S 2.72
S 0.1188 0.6250 0.9938  4 S 2.49-2.55, 2 Sc 2.72, 2 F 2.74
S 0.3750 0.3688 0.4938  4 S 2.49-2.55, 2 Sc 2.72, 2 F 2.74
S 0.6312 0.1250 0.0062  4 S 2.49-2.55, 2 Sc 2.72, 2 F 2.74
S 0.8750 0.8812 0.5062  4 S 2.49-2.55, 2 Sc 2.72, 2 F 2.74
F 0.2500 0.7500 0.5000  4 Sc 2.52, 4 S 2.74
F 0.5000 0.5000 0.0000  4 Sc 2.52, 4 S 2.74

Entry B
ScS2F: relaxed, PBE.

Results
DOS(E_F) = 0.01 states/eV/atom
volume = 82 Å³/cell
SG = R-3m (166)

a = 7.0146 Å, b = 7.0146 Å, c = 7.0146 Å
α = 31.16°, β = 31.16°, γ = 31.16°
With the nearest neighbours (Å) after each atom.
Positions (direct):
Sc 0.0000 0.0000 0.0000  6 S 2.55
S 0.3995 0.3995 0.3995  1 F 2.01
S 0.6005 0.6005 0.6005  1 F 2.01
F 0.5000 0.5000 0.5000  2 S 2.01

Entry C
ScS2F: relaxed, PBE.

Results
DOS(E_F) = 0.81 states/eV/atom
volume = 62 Å³/cell
SG = Fm-3m (225)

a = 4.4324 Å, b = 4.4324 Å, c = 4.4324 Å
α = 60.00°, β = 60.00°, γ = 60.00°
With the nearest neighbours (Å) after each atom.
Positions (direct):
Sc 0.0000 0.0000 0.0000  8 S 2.71
S 0.2500 0.2500 0.2500  4 F 2.71, 4 Sc 2.71
S 0.7500 0.7500 0.7500  4 F 2.71, 4 Sc 2.71
F 0.5000 0.5000 0.5000  8 S 2.71

Tell me which of them is the least stable. Sure, it is entry C.